DFT (PBE) results for a geometry-optimized Nd4Ga2Ag structure.

Unit cell a=5.220 b=5.220 c=8.889 alpha=72.93 beta=72.93 gamma=60.00
Sites, in units of the cell vectors:
1 Nd 0.129 0.129 0.613
2 Nd 0.871 0.871 0.387
3 Nd 0.619 0.619 0.142
4 Ga 0.252 0.252 0.245
5 Ag 0.000 0.000 0.000
6 Ga 0.748 0.748 0.755
7 Nd 0.381 0.381 0.858

## Properties
**Symmetry**: R-3m (166)
**Excess energy over the best structure of this formula in the dataset**: 0.000 eV per atom


DFT (PBE) results for a geometry-optimized SrLaSi2Se structure.

Unit cell a=5.323 b=5.323 c=5.396 alpha=90.00 beta=90.00 gamma=90.00
Sites, in units of the cell vectors:
1 Se 0.000 0.000 0.000
2 Si 0.000 0.500 0.000
3 Si 0.500 0.000 0.000
4 Sr 0.500 0.500 0.500
5 La 0.000 0.000 0.500

## Properties
**Symmetry**: P4/mmm (123)
**ΔE_f (raw)**: 30 kJ/mol of formula units


DFT (PBE) results for a geometry-optimized Sr2TlGa2 structure.

Unit cell a=6.250 b=6.250 c=6.137 alpha=59.39 beta=59.39 gamma=90.00
Sites, in units of the cell vectors:
1 Ga 0.643 0.643 0.715
2 Sr 0.250 0.750 0.500
3 Ga 0.357 0.357 0.285
4 Tl 0.000 0.000 0.000
5 Sr 0.750 0.250 0.500

## Properties
**Symmetry**: I4/mmm (139)
**Excess energy over the best structure of this formula in the dataset**: 0.224 eV per atom